Material: RbLiInF5
Method: DFT, GGA-PBE
State: relaxed

Results
space group: No. 15
density: 3641 kg/m3
total magnetic moment: 0.3 μB/cell
total energy: -4.614 eV per atom
raw formation energy: -2741.7 meV/atom
N(E_F): 0.000 states/eV/atom

Unit cell a=6.244 b=6.244 c=8.103 alpha=104.03 beta=104.03 gamma=107.11
Positions (direct):
Rb (0.163, 0.837, 0.750)
Rb (0.837, 0.163, 0.250)
Li (0.191, 0.809, 0.250)
Li (0.809, 0.191, 0.750)
In (0.500, 0.500, 0.000)
In (0.500, 0.500, 0.500)
F (0.139, 0.275, 0.903)
F (0.221, 0.607, 0.397)
F (0.275, 0.139, 0.403)
F (0.393, 0.779, 0.103)
F (0.436, 0.564, 0.750)
F (0.564, 0.436, 0.250)
F (0.607, 0.221, 0.897)
F (0.725, 0.861, 0.597)
F (0.779, 0.393, 0.603)
F (0.861, 0.725, 0.097)

Material: KAuF3
Method: DFT, GGA-PBE
State: relaxed

Results
space group: No. 11
density: 4751 kg/m3
total magnetic moment: 0.0 μB/cell
total energy: -3.725 eV per atom
raw formation energy: -1727.1 meV/atom

Unit cell a=3.876 b=8.516 c=6.466 alpha=90.00 beta=106.30 gamma=90.00
Positions (direct):
K (0.236, 0.250, 0.472)
K (0.764, 0.750, 0.528)
Au (0.500, 0.000, 0.000)
Au (0.500, 0.500, 0.000)
F (0.335, 0.553, 0.681)
F (0.335, 0.947, 0.681)
F (0.465, 0.250, 0.927)
F (0.535, 0.750, 0.073)
F (0.665, 0.053, 0.319)
F (0.665, 0.447, 0.319)